Entry 1:
Material: Tl5Co3
Method: DFT, PBE-GGA
State: relaxed

Unit cell a=9.4662 b=9.5789 c=6.5243 alpha=87.84 beta=89.11 gamma=142.45
With the nearest neighbours (Å) after each atom.
Sites, in units of the cell vectors:
Co: 0.2812 0.5776 0.8584  4 Co 2.28-2.36
Co: 0.2283 0.3195 0.0125  2 Co 2.28-2.44
Co: 0.3717 0.1503 0.5081  6 Tl 2.63-2.70
Co: 0.6186 0.7230 0.9495  2 Co 2.36-2.44
Co: 0.0079 0.5148 0.0201  1 Co 2.36
Co: 0.5599 0.8314 0.5915  1 Co 2.30
Tl: 0.7185 0.2030 0.3409  2 Co 2.68-2.93
Tl: 0.9074 0.0102 0.3185  2 Co 2.66-2.75
Tl: 0.1403 0.8385 0.2300  2 Co 2.68-2.70
Tl: 0.6964 0.3743 0.7743  2 Co 2.66
Tl: 0.0173 0.9383 0.7806  3 Co 2.66-2.93
Tl: 0.5738 0.4453 0.1846  3 Co 2.64-2.74
Tl: 0.2729 0.8309 0.6986  4 Co 2.63-2.79
Tl: 0.8377 0.1467 0.8514  5 Co 2.62-2.84
Tl: 0.3202 0.6279 0.2646  5 Co 2.64-2.94
Tl: 0.4413 0.4682 0.6166  5 Co 2.67-2.91

## Properties
The energy above the most stable polymorph in this dataset comes out at 0 meV per atom. For the density of states at the Fermi level, the calculation gives 14.88 states/eV per cell. For the total magnetization, the calculation gives 0.397 μB per atom.

Entry 2:
Material: Tl2Co3
Method: DFT, PBE-GGA
State: relaxed

Unit cell a=3.9890 b=3.9890 c=7.3116 alpha=90.00 beta=90.00 gamma=120.00
With the nearest neighbours (Å) after each atom.
Sites, in units of the cell vectors:
Co: 0.6667 0.3333 0.9409  6 Co 2.34-2.46
Co: 0.3333 0.6667 0.0591  6 Co 2.34-2.46
Co: 0.0000 0.0000 0.0000  6 Co 2.34
Tl: 0.6667 0.3333 0.3216  4 Co 2.78-3.00
Tl: 0.3333 0.6667 0.6784  4 Co 2.78-3.00

## Properties
The energy above the most stable polymorph in this dataset comes out at 0 meV per atom. For the density of states at the Fermi level, the calculation gives 3.69 states/eV per cell. For the total magnetization, the calculation gives 0.898 μB per atom.

Entry 3:
Material: TlCo3
Method: DFT, PBE-GGA
State: relaxed

Unit cell a=2.9695 b=2.9695 c=6.4166 alpha=90.00 beta=90.00 gamma=90.01
With the nearest neighbours (Å) after each atom.
Sites, in units of the cell vectors:
Tl: 0.5000 0.5000 0.2500  8 Co 2.86, 4 Tl 2.97
Co: 0.5000 0.5000 0.7500  8 Co 2.45
Co: 0.0000 0.0000 0.9473  5 Co 2.45-2.53
Co: 0.0000 0.0000 0.5527  5 Co 2.45-2.53

## Properties
As for the total energy: -5.505 eV/atom. For the density of states at the Fermi level, the calculation gives 5.40 states/eV per cell. For the total magnetization, the calculation gives 1.235 μB per atom.

- total magnetization of number 1 (Tl5Co3)?
  0.397 μB per atom